(1)
{"formula": "Ac2Mg16Pt", "functional": "PBE", "state": "relaxed", "spacegroup": "R3m (160)", "ef_ev_per_atom": -0.147, "lattice": [[5.162, 2.980, 5.056], [-5.162, 2.980, 5.056], [0.000, -5.961, 5.056]], "species": ["Ac", "Ac", "Mg", "Mg", "Mg", "Mg", "Mg", "Mg", "Mg", "Mg", "Mg", "Mg", "Mg", "Mg", "Mg", "Mg", "Mg", "Mg", "Pt"], "fractional_positions": [[0.000, 0.000, 0.000], [0.340, 0.340, 0.340], [0.014, 0.014, 0.512], [0.014, 0.512, 0.014], [0.186, 0.658, 0.658], [0.323, 0.323, 0.819], [0.323, 0.819, 0.323], [0.373, 0.665, 0.959], [0.373, 0.959, 0.665], [0.512, 0.014, 0.014], [0.658, 0.186, 0.658], [0.658, 0.658, 0.186], [0.665, 0.373, 0.959], [0.665, 0.959, 0.373], [0.741, 0.741, 0.741], [0.819, 0.323, 0.323], [0.959, 0.373, 0.665], [0.959, 0.665, 0.373], [0.554, 0.554, 0.554]]}


(2)
{"formula": "LaNbB3", "functional": "PBE", "state": "relaxed", "spacegroup": "Pm-3m (221)", "ef_ev_per_atom": 0.290, "polymorph_energy_mev_per_atom": 0, "lattice": [[4.349, 0.000, 0.000], [0.000, 4.349, 0.000], [0.000, 0.000, 4.349]], "species": ["La", "Nb", "B", "B", "B"], "fractional_positions": [[0.000, 0.000, 0.000], [0.500, 0.500, 0.500], [0.000, 0.500, 0.500], [0.500, 0.000, 0.500], [0.500, 0.500, 0.000]]}


(3)
{"formula": "Al4ZnNi5", "functional": "PBE", "state": "relaxed", "spacegroup": "P4/mmm (123)", "ef_ev_per_atom": -0.577, "lattice": [[2.878, 0.000, 0.000], [0.000, 2.878, 0.000], [0.000, 0.000, 14.607]], "species": ["Al", "Al", "Al", "Al", "Zn", "Ni", "Ni", "Ni", "Ni", "Ni"], "fractional_positions": [[0.000, 0.000, 0.099], [0.000, 0.000, 0.299], [0.000, 0.000, 0.701], [0.000, 0.000, 0.901], [0.000, 0.000, 0.500], [0.500, 0.500, 0.000], [0.500, 0.500, 0.199], [0.500, 0.500, 0.396], [0.500, 0.500, 0.604], [0.500, 0.500, 0.801]]}


(4)
{"formula": "Tm4PtPb3", "functional": "PBE", "state": "relaxed", "spacegroup": "P4/mmm (123)", "ef_ev_per_atom": -0.609, "lattice": [[3.505, 0.000, 0.000], [0.000, 3.505, 0.000], [0.000, 0.000, 16.781]], "species": ["Tm", "Tm", "Tm", "Tm", "Pt", "Pb", "Pb", "Pb"], "fractional_positions": [[0.000, 0.000, 0.098], [0.000, 0.000, 0.367], [0.000, 0.000, 0.633], [0.000, 0.000, 0.902], [0.500, 0.500, 0.000], [0.500, 0.500, 0.236], [0.500, 0.500, 0.500], [0.500, 0.500, 0.764]]}


(5)
{"formula": "Pm2BeSiN", "functional": "PBE", "state": "relaxed", "spacegroup": "P2_1/m (11)", "e_form_raw_ev_per_atom": -0.97, "lattice": [[6.292, 0.000, 0.000], [0.000, 3.813, 0.000], [-2.534, 0.000, 7.688]], "species": ["Pm", "Pm", "Pm", "Pm", "Be", "Be", "Si", "Si", "N", "N"], "fractional_positions": [[0.206, 0.250, 0.392], [0.215, 0.250, 0.963], [0.785, 0.750, 0.037], [0.794, 0.750, 0.608], [0.450, 0.750, 0.244], [0.550, 0.250, 0.756], [0.335, 0.750, 0.705], [0.665, 0.250, 0.295], [0.180, 0.750, 0.170], [0.820, 0.250, 0.830]]}


(6)
{"formula": "Sr2MgBiO", "functional": "PBE", "state": "relaxed", "spacegroup": "P4/mmm (123)", "e_form_raw_ev_per_atom": -1.35, "lattice": [[5.282, 0.000, 0.000], [0.000, 5.282, 0.000], [0.000, 0.000, 4.574]], "species": ["Sr", "Sr", "Mg", "Bi", "O"], "fractional_positions": [[0.000, 0.500, 0.000], [0.500, 0.000, 0.000], [0.000, 0.000, 0.500], [0.500, 0.500, 0.500], [0.000, 0.000, 0.000]]}


(7)
{"formula": "SrPrPb2Se4", "functional": "PBE", "state": "relaxed", "spacegroup": "P2/m (10)", "e_form_raw_ev_per_atom": -1.19, "lattice": [[7.429, 0.000, 0.000], [0.000, 4.448, 0.000], [-2.715, 0.000, 7.356]], "species": ["Sr", "Pr", "Pb", "Pb", "Se", "Se", "Se", "Se"], "fractional_positions": [[0.000, 0.000, 0.000], [0.000, 0.500, 0.500], [0.500, 0.000, 0.500], [0.500, 0.500, 0.000], [0.244, 0.000, 0.740], [0.244, 0.500, 0.258], [0.756, 0.000, 0.260], [0.756, 0.500, 0.742]]}


(8)
{"formula": "ZrSc3As", "functional": "PBE", "state": "relaxed", "spacegroup": "Pm-3m (221)", "ef_ev_per_atom": 0.727, "polymorph_energy_mev_per_atom": 822, "lattice": [[5.094, 0.000, 0.000], [0.000, 5.094, 0.000], [0.000, 0.000, 5.094]], "species": ["Zr", "Sc", "Sc", "Sc", "As"], "fractional_positions": [[0.000, 0.000, 0.000], [0.000, 0.000, 0.500], [0.000, 0.500, 0.000], [0.500, 0.000, 0.000], [0.500, 0.500, 0.500]]}


(9)
{"formula": "GaPtF3", "functional": "PBE", "state": "relaxed", "spacegroup": "Pm-3m (221)", "e_form_raw_ev_per_atom": -0.98, "polymorph_energy_mev_per_atom": 21, "lattice": [[4.044, 0.000, 0.000], [0.000, 4.044, 0.000], [0.000, 0.000, 4.044]], "species": ["Ga", "Pt", "F", "F", "F"], "fractional_positions": [[0.000, 0.000, 0.000], [0.500, 0.500, 0.500], [0.000, 0.000, 0.500], [0.000, 0.500, 0.000], [0.500, 0.000, 0.000]]}


(10)
{"formula": "YCoSn", "functional": "PBE", "state": "relaxed", "spacegroup": "P-6m2 (187)", "ef_ev_per_atom": -0.396, "lattice": [[4.494, 0.000, 0.000], [-2.247, 3.892, 0.000], [0.000, 0.000, 3.600]], "species": ["Y", "Co", "Sn"], "fractional_positions": [[0.000, 0.000, 0.000], [0.333, 0.667, 0.500], [0.667, 0.333, 0.500]]}


(11)
{"formula": "Ac2CeMgO6", "functional": "PBE", "state": "relaxed", "spacegroup": "P2_1/c (14)", "e_form_raw_ev_per_atom": -3.19, "lattice": [[5.940, 0.000, 0.000], [0.000, 6.060, 0.000], [-5.853, 0.000, 8.494]], "species": ["Ac", "Ac", "Ac", "Ac", "Ce", "Ce", "Mg", "Mg", "O", "O", "O", "O", "O", "O", "O", "O", "O", "O", "O", "O"], "fractional_positions": [[0.236, 0.046, 0.249], [0.236, 0.454, 0.749], [0.764, 0.546, 0.251], [0.764, 0.954, 0.751], [0.500, 0.000, 0.000], [0.500, 0.500, 0.500], [0.000, 0.000, 0.500], [0.000, 0.500, 0.000], [0.144, 0.207, 0.946], [0.144, 0.293, 0.446], [0.232, 0.701, 0.944], [0.232, 0.799, 0.444], [0.347, 0.037, 0.744], [0.347, 0.463, 0.244], [0.653, 0.537, 0.756], [0.653, 0.963, 0.256], [0.768, 0.201, 0.556], [0.768, 0.299, 0.056], [0.856, 0.707, 0.554], [0.856, 0.793, 0.054]]}


(12)
{"formula": "NbHPdRu2", "functional": "PBE", "state": "relaxed", "spacegroup": "P4/mmm (123)", "polymorph_energy_mev_per_atom": 32, "lattice": [[3.949, 0.000, 0.000], [0.000, 3.949, 0.000], [0.000, 0.000, 4.009]], "species": ["Nb", "H", "Pd", "Ru", "Ru"], "fractional_positions": [[0.000, 0.000, 0.000], [0.000, 0.000, 0.500], [0.500, 0.500, 0.000], [0.000, 0.500, 0.500], [0.500, 0.000, 0.500]]}


Number 1: E_tot -2.24 eV per atom. Number 2: E_tot -6.72 eV per atom. Number 3: E_tot -5.09 eV per atom. Number 4: E_tot -4.99 eV per atom. Number 5: E_tot -6.36 eV per atom. Number 6: E_tot -4.11 eV per atom. Number 7: E_tot -4.67 eV per atom. Number 8: E_tot -5.71 eV per atom. Number 9: E_tot -3.92 eV per atom. Number 10: E_tot -6.25 eV per atom. Number 11: E_tot -7.74 eV per atom. Number 12: E_tot -7.59 eV per atom.